The following is a DFT calculation (PBE) of ZnCu2Ni after structural relaxation.

Unit cell a=9.119 b=9.119 c=9.119 alpha=158.13 beta=158.13 gamma=31.12
Fractional coordinates of all 8 atoms:
Zn 0.000 0.000 0.000
Zn 0.750 0.250 0.500
Cu 0.128 0.625 0.003
Cu 0.375 0.378 0.503
Cu 0.622 0.125 0.997
Cu 0.875 0.872 0.497
Ni 0.250 0.750 0.500
Ni 0.500 0.500 0.000

Summary:
Calculated volume (Å³ per atom): 13.15
Space group: I-42d, No. 122
Raw total energy (eV per atom): -3.638